HfIr3I: optimized geometry, GGA-PBE.

Calculated values
Total magnetization (μB per cell): 0.0
Formation energy from raw total energies (eV/atom): 1.60
D(E_F) (states/eV/atom): 1.0702
E (eV per atom): -6.022

a = 4.811 Å, b = 4.811 Å, c = 4.811 Å
α = 90.00°, β = 90.00°, γ = 90.00°
Space group Pm-3m (No. 221)
Symmetry-distinct sites (fractional):
Hf 0.000 0.000 0.000 [1 per cell]
Ir 0.000 0.500 0.500 [3 per cell]
I 0.500 0.500 0.500 [1 per cell]

---

Pm12Er5In2: optimized geometry, GGA-PBE.

Calculated values
Total magnetization (μB per cell): 0.0
Energy relative to the elements (eV/atom): -0.009
D(E_F) (states/eV/atom): 1.4803
E (eV per atom): -4.498

a = 15.460 Å, b = 9.319 Å, c = 8.583 Å
α = 90.00°, β = 93.08°, γ = 90.00°
Space group C2/m (No. 12)
Symmetry-distinct sites (fractional):
Pm 0.057 0.000 0.324 [4 per cell]
Pm 0.082 0.500 0.885 [4 per cell]
Pm 0.124 0.195 0.662 [8 per cell]
Pm 0.149 0.315 0.234 [8 per cell]
Er 0.000 0.500 0.500 [2 per cell]
Er 0.188 0.000 0.011 [4 per cell]
Er 0.232 0.500 0.582 [4 per cell]
In 0.000 0.175 0.000 [4 per cell]